Entry from Alexandria via LeMat-Bulk: a relaxed AcLa3PmPr crystal (PBE-GGA).

Calculated values
Mass density in Mg/m³: 6.76
Energy of formation from the pure elements in eV/f.u.: 0.9
Density of states at the Fermi level in states/eV/f.u.: 8.616
M_tot in Bohr magnetons per cell: 0.00
E_tot in eV for the cell shown: -55.0

POSCAR file:
```
AcLa3PmPr
1.0
-2.0254 5.1550 2.3441
-4.6719 -0.8006 -9.9916
-5.4514 -3.5037 2.9951
Pm Pr Ac La
2 2 2 6
Direct
0.6406 0.2813 0.5002
0.3594 0.7187 0.4998
0.9432 0.8865 0.7224
0.0568 0.1135 0.2776
0.6492 0.2984 0.0422
0.3508 0.7016 0.9578
0.1585 0.3171 0.7563
0.5162 0.0324 0.7536
0.7804 0.5608 0.7164
0.2196 0.4392 0.2836
0.4838 0.9676 0.2464
0.8415 0.6829 0.2437
```



Entry from Alexandria via LeMat-Bulk: a relaxed K4Pr3AsO8 crystal (PBE-GGA).

Calculated values
Mass density in Mg/m³: 4.62
Density of states at the Fermi level in states/eV/f.u.: 0.000
M_tot in Bohr magnetons per cell: 0.00
Raw formation energy in eV/atom: -2.177
E_tot in eV for the cell shown: -97.9

POSCAR file:
```
K4Pr3AsO8
1.0
-0.5081 -6.5471 -2.9069
3.8829 -2.8710 5.7875
-5.9447 3.7759 1.4055
As Pr K O
1 3 4 8
Direct
0.0000 0.5000 0.0000
0.5000 0.5000 0.0000
0.5000 0.5000 0.5000
0.0000 0.5000 0.5000
0.0000 0.0000 0.5000
0.5000 0.0000 0.5000
0.0000 0.0000 0.0000
0.5000 0.0000 0.0000
0.7448 0.6910 0.9679
0.7769 0.3090 0.0321
0.2686 0.3057 0.5371
0.2231 0.6910 0.9679
0.2231 0.6910 0.4462
0.7314 0.6943 0.4629
0.7769 0.3090 0.5538
0.2552 0.3090 0.0321
```



Please write out number 1 again, unchanged.
Entry from Alexandria via LeMat-Bulk: a relaxed AcLa3PmPr crystal (PBE-GGA).

Calculated values
Mass density in Mg/m³: 6.76
Energy of formation from the pure elements in eV/f.u.: 0.9
Density of states at the Fermi level in states/eV/f.u.: 8.616
M_tot in Bohr magnetons per cell: 0.00
E_tot in eV for the cell shown: -55.0

POSCAR file:
```
AcLa3PmPr
1.0
-2.0254 5.1550 2.3441
-4.6719 -0.8006 -9.9916
-5.4514 -3.5037 2.9951
Pm Pr Ac La
2 2 2 6
Direct
0.6406 0.2813 0.5002
0.3594 0.7187 0.4998
0.9432 0.8865 0.7224
0.0568 0.1135 0.2776
0.6492 0.2984 0.0422
0.3508 0.7016 0.9578
0.1585 0.3171 0.7563
0.5162 0.0324 0.7536
0.7804 0.5608 0.7164
0.2196 0.4392 0.2836
0.4838 0.9676 0.2464
0.8415 0.6829 0.2437
```